[1]
The following is a DFT calculation (GGA-PBE) of an optimized crystal structure of Tl3AgBr.

Results
**Formation energy without anion corrections**: -0.113 eV/atom
**Distance to the lowest polymorph of the same formula**: 0 meV per atom

Unit cell a=5.5878 b=5.5878 c=5.5878 alpha=90.00 beta=90.00 gamma=90.00
Last column: nearest neighbours and their distance in Å.
Positions (direct):
Tl1 0.0000 0.0000 0.5000  2 Ag 2.79
Tl2 0.0000 0.5000 0.0000  2 Ag 2.79
Tl3 0.5000 0.0000 0.0000  2 Ag 2.79
Ag1 0.0000 0.0000 0.0000  6 Tl 2.79
Br1 0.5000 0.5000 0.5000  12 Tl 3.95

=====

[2]
The following is a DFT calculation (GGA-PBE) of an optimized crystal structure of TlAg2Br.

Results
**Formation energy without anion corrections**: 0.174 eV/atom
**Distance to the lowest polymorph of the same formula**: 238 meV per atom

Unit cell a=5.1648 b=5.1648 c=5.1648 alpha=60.00 beta=60.00 gamma=60.00
Last column: nearest neighbours and their distance in Å.
Positions (direct):
Tl1 0.0000 0.0000 0.0000  8 Ag 3.16
Ag1 0.2500 0.2500 0.2500  4 Tl 3.16, 4 Br 3.16
Ag2 0.7500 0.7500 0.7500  4 Tl 3.16, 4 Br 3.16
Br1 0.5000 0.5000 0.5000  8 Ag 3.16

=====

[3]
The following is a DFT calculation (GGA-PBE) of an optimized crystal structure of Tl2AgBr.

Results
**Formation energy without anion corrections**: -0.170 eV/atom
**Distance to the lowest polymorph of the same formula**: 67 meV per atom

Unit cell a=7.7027 b=7.7027 c=7.7027 alpha=33.98 beta=33.98 gamma=33.98
Last column: nearest neighbours and their distance in Å.
Positions (direct):
Tl1 0.2399 0.2399 0.2399  3 Ag 3.05, 3 Br 3.30
Tl2 0.7601 0.7601 0.7601  3 Ag 3.05, 3 Br 3.30
Ag1 0.5000 0.5000 0.5000  6 Tl 3.05
Br1 0.0000 0.0000 0.0000  6 Tl 3.30

=====

[4]
The following is a DFT calculation (GGA-PBE) of an optimized crystal structure of Tl2Ag3Br8.

Results
**Formation energy without anion corrections**: -0.405 eV/atom

Unit cell a=8.5600 b=8.5600 c=7.2853 alpha=108.09 beta=108.09 gamma=59.20
Last column: nearest neighbours and their distance in Å.
Positions (direct):
Tl1 0.1846 0.1846 0.1432  4 Br 2.77-2.84
Tl2 0.8154 0.8154 0.8568  4 Br 2.77-2.84
Ag1 0.2450 0.7550 0.5000  6 Br 2.85-2.92
Ag2 0.5000 0.5000 0.0000  6 Br 2.83-2.89
Ag3 0.7550 0.2450 0.5000  6 Br 2.85-2.92
Br1 0.1178 0.1178 0.7350  1 Tl 2.78, 2 Ag 2.86
Br2 0.1551 0.6132 0.7370  1 Tl 2.77, 2 Ag 2.83-2.85
Br3 0.3868 0.8449 0.2630  1 Tl 2.77, 2 Ag 2.83-2.85
Br4 0.3882 0.3882 0.2534  1 Tl 2.84, 3 Ag 2.89-2.92
Br5 0.6118 0.6118 0.7466  1 Tl 2.84, 3 Ag 2.89-2.92
Br6 0.6132 0.1551 0.7370  1 Tl 2.77, 2 Ag 2.83-2.85
Br7 0.8449 0.3868 0.2630  1 Tl 2.77, 2 Ag 2.83-2.85
Br8 0.8822 0.8822 0.2650  1 Tl 2.78, 2 Ag 2.86

=====

[5]
The following is a DFT calculation (GGA-PBE) of an optimized crystal structure of Tl3Ag3Br8.

Results
**Formation energy without anion corrections**: -0.474 eV/atom

Unit cell a=8.8615 b=8.8615 c=8.8615 alpha=58.40 beta=58.40 gamma=58.40
Last column: nearest neighbours and their distance in Å.
Positions (direct):
Tl1 0.0000 0.5000 0.5000  6 Br 3.15-3.16
Tl2 0.5000 0.0000 0.5000  6 Br 3.15-3.16
Tl3 0.5000 0.5000 0.0000  6 Br 3.15-3.16
Ag1 0.1226 0.1226 0.1226  4 Br 2.68-2.69
Ag2 0.5000 0.5000 0.5000  6 Br 2.93
Ag3 0.8774 0.8774 0.8774  4 Br 2.68-2.69
Br1 0.2453 0.2453 0.2453  1 Ag 2.69
Br2 0.2553 0.7368 0.7368  2 Ag 2.68-2.93
Br3 0.2632 0.2632 0.7447  2 Ag 2.68-2.93
Br4 0.2632 0.7447 0.2632  2 Ag 2.68-2.93
Br5 0.7368 0.2553 0.7368  2 Ag 2.68-2.93
Br6 0.7368 0.7368 0.2553  2 Ag 2.68-2.93
Br7 0.7447 0.2632 0.2632  2 Ag 2.68-2.93
Br8 0.7547 0.7547 0.7547  1 Ag 2.69

=====

[6]
The following is a DFT calculation (GGA-PBE) of an optimized crystal structure of TlAg2Br6.

Results
**Formation energy without anion corrections**: -0.341 eV/atom
**Distance to the lowest polymorph of the same formula**: 0 meV per atom

Unit cell a=7.0196 b=7.1531 c=12.7881 alpha=90.00 beta=115.07 gamma=90.00
Last column: nearest neighbours and their distance in Å.
Positions (direct):
Tl1 0.0000 0.0000 0.0000  6 Br 2.74-3.01
Tl2 0.0000 0.5000 0.5000  6 Br 2.74-3.01
Ag1 0.3626 0.1313 0.8453  4 Br 2.66-2.75
Ag2 0.3626 0.3687 0.3453  4 Br 2.66-2.75
Ag3 0.6374 0.6313 0.6547  4 Br 2.66-2.75
Ag4 0.6374 0.8687 0.1547  4 Br 2.66-2.75
Br1 0.0984 0.1874 0.4092  1 Ag 2.66, 1 Tl 2.74
Br2 0.0984 0.3126 0.9092  1 Ag 2.66, 1 Tl 2.74
Br3 0.2649 0.6930 0.4280  2 Ag 2.75-3.00, 1 Tl 2.77
Br4 0.2649 0.8070 0.9280  2 Ag 2.75-3.00, 1 Tl 2.77
Br5 0.3805 0.0625 0.2237  2 Ag 2.70-2.72, 1 Tl 3.01
Br6 0.3805 0.4375 0.7237  2 Ag 2.70-2.72, 1 Tl 3.01
Br7 0.6195 0.5625 0.2763  2 Ag 2.70-2.72, 1 Tl 3.01
Br8 0.6195 0.9375 0.7763  2 Ag 2.70-2.72, 1 Tl 3.01
Br9 0.7351 0.1930 0.0720  2 Ag 2.75-3.00, 1 Tl 2.77
Br10 0.7351 0.3070 0.5720  2 Ag 2.75-3.00, 1 Tl 2.77
Br11 0.9016 0.6874 0.0908  1 Ag 2.66, 1 Tl 2.74
Br12 0.9016 0.8126 0.5908  1 Ag 2.66, 1 Tl 2.74

=====

[7]
The following is a DFT calculation (GGA-PBE) of an optimized crystal structure of Tl2AgBr.

Results
**Formation energy without anion corrections**: -0.004 eV/atom
**Distance to the lowest polymorph of the same formula**: 233 meV per atom

Unit cell a=5.4914 b=5.4914 c=5.4914 alpha=60.00 beta=60.00 gamma=60.00
Last column: nearest neighbours and their distance in Å.
Positions (direct):
Tl1 0.0000 0.0000 0.0000  4 Tl 3.36, 4 Br 3.36
Tl2 0.2500 0.2500 0.2500  4 Tl 3.36, 4 Ag 3.36
Ag1 0.5000 0.5000 0.5000  4 Tl 3.36, 4 Br 3.36
Br1 0.7500 0.7500 0.7500  4 Tl 3.36, 4 Ag 3.36

=====

[8]
The following is a DFT calculation (GGA-PBE) of an optimized crystal structure of TlAg2Br.

Results
**Formation energy without anion corrections**: -0.001 eV/atom
**Distance to the lowest polymorph of the same formula**: 63 meV per atom

Unit cell a=8.3690 b=8.3690 c=8.3690 alpha=25.79 beta=25.79 gamma=25.79
Last column: nearest neighbours and their distance in Å.
Positions (direct):
Tl1 0.0000 0.0000 0.0000  6 Ag 2.99
Ag1 0.2478 0.2478 0.2478  3 Br 2.92, 3 Tl 2.99
Ag2 0.7522 0.7522 0.7522  3 Br 2.92, 3 Tl 2.99
Br1 0.5000 0.5000 0.5000  6 Ag 2.92

=====

[9]
The following is a DFT calculation (GGA-PBE) of an optimized crystal structure of TlAg2Br4.

Results
**Formation energy without anion corrections**: -0.410 eV/atom
**Distance to the lowest polymorph of the same formula**: 0 meV per atom

Unit cell a=4.5567 b=7.4102 c=7.5211 alpha=105.81 beta=107.55 gamma=90.03
Last column: nearest neighbours and their distance in Å.
Positions (direct):
Tl1 0.0000 0.0000 0.0000  6 Br 3.08-3.09
Ag1 0.3144 0.3720 0.6290  4 Br 2.61-2.77
Ag2 0.6856 0.6280 0.3710  4 Br 2.61-2.77
Br1 0.1289 0.4124 0.2574  3 Ag 2.77, 1 Tl 3.09
Br2 0.3689 0.0644 0.7369  1 Ag 2.61
Br3 0.6311 0.9356 0.2631  1 Ag 2.61
Br4 0.8711 0.5876 0.7426  3 Ag 2.77, 1 Tl 3.09

=====

[10]
The following is a DFT calculation (GGA-PBE) of an optimized crystal structure of Tl2AgBr.

Results
**Formation energy without anion corrections**: -0.167 eV/atom
**Distance to the lowest polymorph of the same formula**: 70 meV per atom

Unit cell a=6.5316 b=6.5316 c=6.5316 alpha=147.35 beta=130.99 gamma=60.14
Last column: nearest neighbours and their distance in Å.
Positions (direct):
Tl1 0.0000 0.0000 0.0000  2 Ag 3.16, 4 Br 3.31
Tl2 0.7245 0.2245 0.5000  4 Ag 3.27, 2 Br 3.57, 2 Tl 3.62
Ag1 0.2278 0.7278 0.5000  2 Br 3.15, 6 Tl 3.16-3.27
Br1 0.4541 0.4541 0.0000  2 Ag 3.15, 4 Tl 3.31